# 1
PBE YIn3Fe, relaxed; offset from the most stable computed form = 1222 meV per atom
1.0
5.800 0.000 0.000
0.000 5.800 0.000
0.000 0.000 5.800
Y In Fe
1 3 1
Direct
0.000 0.000 0.000 Y
0.000 0.000 0.500 In
0.000 0.500 0.000 In
0.500 0.000 0.000 In
0.500 0.500 0.500 Fe



# 2
PBE YInFe3, relaxed; offset from the most stable computed form = 0 meV per atom
1.0
4.802 0.000 0.000
0.000 4.802 0.000
0.000 0.000 4.802
Y In Fe
1 1 3
Direct
0.000 0.000 0.000 Y
0.500 0.500 0.500 In
0.000 0.500 0.500 Fe
0.500 0.000 0.500 Fe
0.500 0.500 0.000 Fe



# 3
This record from Alexandria describes crystalline YIn2Fe at its relaxed geometry. The functional is PBE.

Geometry as POSCAR:
```
YIn2Fe
1.0
-2.222 2.222 4.502
2.222 -2.222 4.502
2.222 2.222 -4.502
Y In Fe
1 2 1
Direct
0.000 0.000 0.000 Y
0.500 0.500 0.000 In
0.750 0.250 0.500 In
0.250 0.750 0.500 Fe
```



# 4
PBE YInFe3, relaxed; offset from the most stable computed form = 553 meV per atom
1.0
4.764 0.000 0.000
0.000 4.764 0.000
0.000 0.000 4.764
Y In Fe
1 1 3
Direct
0.000 0.000 0.000 Y
0.500 0.500 0.500 In
0.000 0.000 0.500 Fe
0.000 0.500 0.000 Fe
0.500 0.000 0.000 Fe



# 5
This record from Alexandria describes crystalline YIn2Fe at its relaxed geometry. The functional is PBE.

Geometry as POSCAR:
```
YIn2Fe
1.0
-1.865 2.494 4.721
1.865 -2.494 4.721
1.865 2.494 -4.721
Y In Fe
1 2 1
Direct
0.000 0.000 0.000 Y
0.279 0.779 0.500 In
0.721 0.221 0.500 In
0.500 0.500 0.000 Fe
```



# 6
This record from Alexandria describes crystalline Y12InFe6 at its relaxed geometry. The functional is PBE.

Geometry as POSCAR:
```
Y12InFe6
1.0
-4.881 4.881 4.881
4.881 -4.881 4.881
4.881 4.881 -4.881
Y In Fe
12 1 6
Direct
0.103 0.298 0.805 Y
0.195 0.493 0.298 Y
0.195 0.897 0.702 Y
0.298 0.195 0.493 Y
0.298 0.805 0.103 Y
0.493 0.298 0.195 Y
0.507 0.702 0.805 Y
0.702 0.195 0.897 Y
0.702 0.805 0.507 Y
0.805 0.103 0.298 Y
0.805 0.507 0.702 Y
0.897 0.702 0.195 Y
0.000 0.000 0.000 In
0.109 0.500 0.609 Fe
0.391 0.891 0.500 Fe
0.500 0.391 0.891 Fe
0.500 0.609 0.109 Fe
0.609 0.109 0.500 Fe
0.891 0.500 0.391 Fe
```



# 7
This record from Alexandria describes crystalline YIn2Fe at its relaxed geometry. The functional is PBE.

Geometry as POSCAR:
```
YIn2Fe
1.0
3.117 -4.483 0.000
3.117 4.483 0.000
0.000 0.000 3.223
Y In Fe
1 2 1
Direct
0.000 0.000 0.000 Y
0.000 0.500 0.500 In
0.500 0.000 0.500 In
0.500 0.500 0.000 Fe
```



# 8
This record from Alexandria describes crystalline YIn2Fe at its relaxed geometry. The functional is PBE.

Geometry as POSCAR:
```
YIn2Fe
1.0
-2.273 2.273 4.173
2.273 -2.273 4.173
2.273 2.273 -4.173
Y In Fe
1 2 1
Direct
0.000 0.000 0.000 Y
0.250 0.750 0.500 In
0.750 0.250 0.500 In
0.500 0.500 0.000 Fe
```



# 9
This record from Alexandria describes crystalline Y2InFe at its relaxed geometry. The functional is PBE.

Geometry as POSCAR:
```
Y2InFe
1.0
1.793 1.035 8.966
-1.793 1.035 8.966
0.000 -2.070 8.966
Y In Fe
2 1 1
Direct
0.235 0.235 0.235 Y
0.765 0.765 0.765 Y
0.000 0.000 0.000 In
0.500 0.500 0.500 Fe
```



# 10
This record from Alexandria describes crystalline YIn2Fe at its relaxed geometry. The functional is PBE.

Geometry as POSCAR:
```
YIn2Fe
1.0
3.423 0.000 0.000
0.000 3.423 0.000
0.000 0.000 7.269
Y In Fe
1 2 1
Direct
0.000 0.000 0.000 Y
0.500 0.500 0.296 In
0.500 0.500 0.704 In
0.000 0.000 0.500 Fe
```



# 11
This record from Alexandria describes crystalline YInFe2 at its relaxed geometry. The functional is PBE.

Geometry as POSCAR:
```
YInFe2
1.0
-2.097 2.097 4.211
2.097 -2.097 4.211
2.097 2.097 -4.211
Y In Fe
1 1 2
Direct
0.000 0.000 0.000 Y
0.750 0.250 0.500 In
0.250 0.750 0.500 Fe
0.500 0.500 0.000 Fe
```



# 12
This record from Alexandria describes crystalline YInFe2 at its relaxed geometry. The functional is PBE.

Geometry as POSCAR:
```
YInFe2
1.0
-3.746 3.746 2.917
3.746 -3.746 2.917
3.746 3.746 -2.917
Y In Fe
2 2 4
Direct
0.000 0.000 0.000 Y
0.750 0.250 0.500 Y
0.250 0.750 0.500 In
0.500 0.500 0.000 In
0.146 0.625 0.021 Fe
0.375 0.396 0.521 Fe
0.604 0.125 0.979 Fe
0.875 0.854 0.479 Fe
```



Number 1: E_form 1246 meV/atom. Number 2: E_form 1017 meV/atom. Number 3: E_form 33 meV/atom. Number 4: E_form 1570 meV/atom. Number 5: E_form -15 meV/atom. Number 6: E_form -80 meV/atom. Number 7: E_form 85 meV/atom. Number 8: E_form -2 meV/atom. Number 9: E_form 11 meV/atom. Number 10: E_form -45 meV/atom. Number 11: E_form 203 meV/atom. Number 12: E_form 557 meV/atom.